(1)
# MoBr PBE relaxed
# * size of the total moment: 0.0 μB per formula unit
# * energy relative to the lowest polymorph listed for this composition: 0 meV per atom
data_MoBr
_chemical_formula_sum 'Mo2 Br2'
_space_group_name_H-M_alt 'P 63/m m c'
_space_group_IT_number 194
_space_group_name_Hall '-P 6c 2c'
_cell_length_a 3.0665
_cell_length_b 3.0665
_cell_length_c 8.5323
_cell_angle_alpha 90.00
_cell_angle_beta 90.00
_cell_angle_gamma 120.00
loop_
_atom_site_label
_atom_site_type_symbol
_atom_site_fract_x
_atom_site_fract_y
_atom_site_fract_z
Mo1 Mo 0.3333 0.6667 0.2500
Br1 Br 0.0000 0.0000 0.0000

***

(2)
# Tm2ReB6 PBE relaxed
# * size of the total moment: 0.0 μB per formula unit
# * VASP energy: -7.501 eV/atom
data_Tm2ReB6
_chemical_formula_sum 'Tm8 Re4 B24'
_space_group_name_H-M_alt 'P b a m'
_space_group_IT_number 55
_space_group_name_Hall '-P 2 2ab'
_cell_length_a 9.096
_cell_length_b 11.447
_cell_length_c 3.634
_cell_angle_alpha 90.00
_cell_angle_beta 90.00
_cell_angle_gamma 90.00
loop_
_atom_site_label
_atom_site_type_symbol
_atom_site_fract_x
_atom_site_fract_y
_atom_site_fract_z
Tm1 Tm 0.057 0.130 0.000
Tm2 Tm 0.177 0.414 0.000
Re1 Re 0.139 0.679 0.000
B1 B 0.018 0.288 0.500
B2 B 0.053 0.566 0.500
B3 B 0.100 0.972 0.500
B4 B 0.131 0.815 0.500
B5 B 0.207 0.235 0.500
B6 B 0.250 0.081 0.500

***

(3)
# Pm2TeH PBE relaxed
# * size of the total moment: 0.0 μB per formula unit
# * VASP energy: -4.569 eV/atom
data_Pm2TeH
_chemical_formula_sum 'Pm2 Te1 H1'
_space_group_name_H-M_alt 'P 4/m m m'
_space_group_IT_number 123
_space_group_name_Hall '-P 4 2'
_cell_length_a 4.268
_cell_length_b 4.268
_cell_length_c 5.917
_cell_angle_alpha 90.00
_cell_angle_beta 90.00
_cell_angle_gamma 90.00
loop_
_atom_site_label
_atom_site_type_symbol
_atom_site_fract_x
_atom_site_fract_y
_atom_site_fract_z
Pm1 Pm 0.000 0.000 0.000
Pm2 Pm 0.500 0.500 0.500
Te1 Te 0.000 0.000 0.500
H1 H 0.500 0.500 0.000

***

(4)
# HfMgCuSi PBE relaxed
# * size of the total moment: 0.0 μB per formula unit
# * energy relative to the lowest polymorph listed for this composition: 149 meV per atom
data_HfMgCuSi
_chemical_formula_sum 'Hf4 Mg4 Cu4 Si4'
_space_group_name_H-M_alt 'F -4 3 m'
_space_group_IT_number 216
_space_group_name_Hall 'F -4 2 3'
_cell_length_a 6.417
_cell_length_b 6.417
_cell_length_c 6.417
_cell_angle_alpha 90.00
_cell_angle_beta 90.00
_cell_angle_gamma 90.00
loop_
_atom_site_label
_atom_site_type_symbol
_atom_site_fract_x
_atom_site_fract_y
_atom_site_fract_z
Hf1 Hf 0.000 0.000 0.000
Mg1 Mg 0.250 0.250 0.250
Cu1 Cu 0.250 0.250 0.750
Si1 Si 0.000 0.000 0.500

***

(5)
# IrW PBE relaxed
# * size of the total moment: 0.0 μB per formula unit
# * DFT formation energy: 0.828 eV/atom
# * energy relative to the lowest polymorph listed for this composition: 1130 meV per atom
data_IrW
_chemical_formula_sum 'Ir4 W4'
_space_group_name_H-M_alt 'F m -3 m'
_space_group_IT_number 225
_space_group_name_Hall '-F 4 2 3'
_cell_length_a 5.202
_cell_length_b 5.202
_cell_length_c 5.202
_cell_angle_alpha 90.00
_cell_angle_beta 90.00
_cell_angle_gamma 90.00
loop_
_atom_site_label
_atom_site_type_symbol
_atom_site_fract_x
_atom_site_fract_y
_atom_site_fract_z
Ir1 Ir 0.000 0.000 0.000
W1 W 0.000 0.000 0.500

***

(6)
# PrGd2Cd3Cu2Ag PBE relaxed
# * size of the total moment: 0.0 μB per formula unit
# * DFT formation energy: -0.296 eV/atom
data_PrGd2Cd3Cu2Ag
_chemical_formula_sum 'Pr2 Gd4 Cd6 Cu4 Ag2'
_space_group_name_H-M_alt 'A m m 2'
_space_group_IT_number 38
_space_group_name_Hall 'A 2 -2'
_cell_length_a 3.926
_cell_length_b 13.436
_cell_length_c 7.773
_cell_angle_alpha 90.00
_cell_angle_beta 90.00
_cell_angle_gamma 90.00
loop_
_atom_site_label
_atom_site_type_symbol
_atom_site_fract_x
_atom_site_fract_y
_atom_site_fract_z
Pr1 Pr 0.000 0.000 0.000
Gd1 Gd 0.000 0.205 0.384
Cd1 Cd 0.500 0.000 0.327
Cd2 Cd 0.500 0.134 0.720
Cu1 Cu 0.500 0.170 0.091
Ag1 Ag 0.000 0.000 0.588

***

(7)
# HoSi2Pt PBE relaxed
# * size of the total moment: 0.0 μB per formula unit
# * VASP energy: -6.350 eV/atom
data_HoSi2Pt
_chemical_formula_sum 'Ho8 Si16 Pt8'
_space_group_name_H-M_alt 'I m m m'
_space_group_IT_number 71
_space_group_name_Hall '-I 2 2'
_cell_length_a 4.243
_cell_length_b 8.491
_cell_length_c 15.997
_cell_angle_alpha 90.00
_cell_angle_beta 90.00
_cell_angle_gamma 90.00
loop_
_atom_site_label
_atom_site_type_symbol
_atom_site_fract_x
_atom_site_fract_y
_atom_site_fract_z
Ho1 Ho 0.000 0.000 0.201
Ho2 Ho 0.000 0.239 0.000
Si1 Si 0.000 0.000 0.428
Si2 Si 0.000 0.352 0.200
Si3 Si 0.000 0.500 0.427
Pt1 Pt 0.000 0.247 0.352

***

(8)
# RbLuBeTe3 PBE relaxed
# * size of the total moment: 0.0 μB per formula unit
# * VASP energy: -4.105 eV/atom
data_RbLuBeTe3
_chemical_formula_sum 'Rb4 Lu4 Be4 Te12'
_space_group_name_H-M_alt 'C m c m'
_space_group_IT_number 63
_space_group_name_Hall '-C 2c 2'
_cell_length_a 4.238
_cell_length_b 16.578
_cell_length_c 11.479
_cell_angle_alpha 90.00
_cell_angle_beta 90.00
_cell_angle_gamma 90.00
loop_
_atom_site_label
_atom_site_type_symbol
_atom_site_fract_x
_atom_site_fract_y
_atom_site_fract_z
Rb1 Rb 0.000 0.244 0.250
Lu1 Lu 0.000 0.500 0.000
Be1 Be 0.000 0.035 0.750
Te1 Te 0.000 0.119 0.572
Te2 Te 0.000 0.443 0.750